Record 1
12
Lattice="2.823 0.000 0.000 0.000 5.454 0.000 0.000 0.000 7.772" Properties=species:S:1:pos:R:3 comment="PBE-GGA TcBC, optimized geometry" total_magnetization_mub_per_cell=0.00 energy_ev_per_atom=-8.259 pbc="T T T"
Tc 0.000 0.000 0.000
Tc 0.000 2.727 3.886
Tc 1.412 0.000 3.886
Tc 1.412 2.727 0.000
B 0.000 0.000 5.537
B 0.000 2.727 1.651
B 1.412 0.000 1.651
B 1.412 2.727 5.537
C 0.000 0.000 2.197
C 0.000 2.727 6.083
C 1.412 0.000 6.083
C 1.412 2.727 2.197

Record 2
5
Lattice="4.009 0.000 0.000 0.000 4.009 0.000 0.000 0.000 4.009" Properties=species:S:1:pos:R:3 comment="PBE-GGA TcBC3, optimized geometry" polymorph_energy_ev_per_atom=0.501 total_magnetization_mub_per_cell=0.00 energy_ev_per_atom=-6.226 pbc="T T T"
Tc 0.000 0.000 0.000
B 2.004 2.004 2.004
C 0.000 0.000 2.004
C 0.000 2.004 0.000
C 2.004 0.000 0.000

Record 3
5
Lattice="3.437 0.000 0.000 0.000 3.437 0.000 0.000 0.000 3.437" Properties=species:S:1:pos:R:3 comment="PBE-GGA TcBC3, optimized geometry" polymorph_energy_ev_per_atom=0.000 total_magnetization_mub_per_cell=0.00 energy_ev_per_atom=-6.727 pbc="T T T"
Tc 0.000 0.000 0.000
B 1.719 1.719 1.719
C 0.000 1.719 1.719
C 1.719 0.000 1.719
C 1.719 1.719 0.000